LaTl2W3O12 | GGA+U | relaxed

total DFT energy (no corrections)	-125.79	eV for the cell shown
total moment	0.00	μB per formula unit

abc: 7.776 7.776 7.776
angles: 58.04 58.04 58.04
Fractional coordinates of all 18 atoms:
La 0.000 0.000 0.000
Tl 0.331 0.331 0.331
Tl 0.669 0.669 0.669
W 0.000 0.000 0.500
W 0.000 0.500 0.000
W 0.500 0.000 0.000
O 0.069 0.710 0.710
O 0.090 0.090 0.618
O 0.090 0.618 0.090
O 0.290 0.290 0.931
O 0.290 0.931 0.290
O 0.382 0.910 0.910
O 0.618 0.090 0.090
O 0.710 0.069 0.710
O 0.710 0.710 0.069
O 0.910 0.382 0.910
O 0.910 0.910 0.382
O 0.931 0.290 0.290